Model i:
Density functional theory data (PBE-GGA) for a relaxed structure of SiMo3Ru.

a = 4.4261 Å, b = 4.4261 Å, c = 4.4261 Å
α = 90.00°, β = 90.00°, γ = 90.00°
With the nearest neighbours (Å) after each atom.
Space group Pm-3m (No. 221)
Asymmetric unit:
Si 0.0000 0.0000 0.0000 [1 per cell]  6 Mo 2.21
Mo 0.0000 0.0000 0.5000 [3 per cell]  2 Si 2.21
Ru 0.5000 0.5000 0.5000 [1 per cell]  12 Mo 3.13

Values from the calculation:
Spin magnetization: 0.000 μB/cell
Density: 7.985 Mg/m³



Model ii:
Density functional theory data (PBE-GGA) for a relaxed structure of SiMo3Ru.

a = 4.6655 Å, b = 4.6655 Å, c = 4.6655 Å
α = 90.00°, β = 90.00°, γ = 90.00°
With the nearest neighbours (Å) after each atom.
Space group Pm-3m (No. 221)
Asymmetric unit:
Si 0.0000 0.0000 0.0000 [1 per cell]  12 Mo 3.30
Mo 0.0000 0.5000 0.5000 [3 per cell]  2 Ru 2.33
Ru 0.5000 0.5000 0.5000 [1 per cell]  6 Mo 2.33

Values from the calculation:
Spin magnetization: 1.266 μB/cell
Density: 6.818 Mg/m³



The most stable of them is model i.



Model i:
Density functional theory data (PBE-GGA) for a relaxed structure of SnMoRu3.

a = 4.7543 Å, b = 4.7543 Å, c = 4.7543 Å
α = 90.00°, β = 90.00°, γ = 90.00°
With the nearest neighbours (Å) after each atom.
Space group Pm-3m (No. 221)
Asymmetric unit:
Sn 0.0000 0.0000 0.0000 [1 per cell]  12 Ru 3.36
Mo 0.5000 0.5000 0.5000 [1 per cell]  6 Ru 2.38
Ru 0.0000 0.5000 0.5000 [3 per cell]  2 Mo 2.38

Values from the calculation:
Spin magnetization: 0.548 μB/cell
Density: 8.002 Mg/m³



Model ii:
Density functional theory data (PBE-GGA) for a relaxed structure of SnMoRu3.

a = 4.7206 Å, b = 4.7206 Å, c = 4.7206 Å
α = 90.00°, β = 90.00°, γ = 90.00°
With the nearest neighbours (Å) after each atom.
Space group Pm-3m (No. 221)
Asymmetric unit:
Sn 0.0000 0.0000 0.0000 [1 per cell]  6 Ru 2.36
Mo 0.5000 0.5000 0.5000 [1 per cell]  12 Ru 3.34
Ru 0.0000 0.0000 0.5000 [3 per cell]  2 Sn 2.36

Values from the calculation:
Spin magnetization: 1.583 μB/cell
Density: 8.175 Mg/m³



The most stable of them is model i.



Model i:
Density functional theory data (PBE-GGA) for a relaxed structure of SrMoRu2.

a = 7.3515 Å, b = 7.3515 Å, c = 6.2707 Å
α = 90.00°, β = 90.00°, γ = 90.00°
With the nearest neighbours (Å) after each atom.
Space group I-42d (No. 122)
Asymmetric unit:
Sr 0.0000 0.0000 0.0000 [4 per cell]  8 Ru 3.06-3.28, 2 Mo 3.14
Mo 0.0000 0.0000 0.5000 [4 per cell]  4 Ru 2.42
Ru 0.1851 0.2500 0.6250 [8 per cell]  2 Mo 2.42

Values from the calculation:
Spin magnetization: 0.000 μB/cell
Density: 7.559 Mg/m³



Model ii:
Density functional theory data (PBE-GGA) for a relaxed structure of SrMoRu2.

a = 3.1631 Å, b = 4.3673 Å, c = 6.1573 Å
α = 90.00°, β = 100.87°, γ = 90.00°
With the nearest neighbours (Å) after each atom.
Space group Pm (No. 6)
Asymmetric unit:
Sr 0.0000 0.0000 0.0000 [1 per cell]  5 Ru 3.01-3.12, 2 Sr 3.16
Mo 0.7938 0.5000 0.4322 [1 per cell]  4 Ru 2.44-2.57
Ru 0.3951 0.0000 0.4846 [1 per cell]  4 Mo 2.57-2.87, 2 Ru 2.69
Ru 0.4047 0.5000 0.7406 [1 per cell]  2 Mo 2.44-2.45, 2 Ru 2.69

Values from the calculation:
Spin magnetization: 0.000 μB/cell
Density: 7.667 Mg/m³



Model iii:
Density functional theory data (PBE-GGA) for a relaxed structure of SrMoRu2.

a = 3.2294 Å, b = 5.3118 Å, c = 8.9556 Å
α = 90.00°, β = 90.00°, γ = 90.00°
With the nearest neighbours (Å) after each atom.
Space group Immm (No. 71)
Asymmetric unit:
Sr 0.0000 0.0000 0.0000 [2 per cell]  8 Ru 3.04-3.27, 4 Mo 3.11, 2 Sr 3.23
Mo 0.0000 0.0000 0.5000 [2 per cell]  4 Ru 2.50
Ru 0.0000 0.5000 0.2125 [4 per cell]  2 Mo 2.50

Values from the calculation:
Spin magnetization: 0.000 μB/cell
Density: 8.338 Mg/m³



The most stable of them is model ii.



Model i:
Density functional theory data (PBE-GGA) for a relaxed structure of SrMoRu2.

a = 3.0896 Å, b = 4.5628 Å, c = 5.0514 Å
α = 90.00°, β = 90.00°, γ = 90.00°
With the nearest neighbours (Å) after each atom.
Space group Pmmm (No. 47)
Asymmetric unit:
Sr 0.0000 0.0000 0.0000 [1 per cell]  4 Ru 2.76, 4 Mo 2.96
Mo 0.5000 0.0000 0.5000 [1 per cell]  4 Ru 2.76, 4 Sr 2.96
Ru 0.0000 0.5000 0.5000 [1 per cell]  4 Mo 2.76, 4 Ru 2.96
Ru 0.5000 0.5000 0.0000 [1 per cell]  4 Sr 2.76, 4 Ru 2.96

Values from the calculation:
Spin magnetization: 0.015 μB/cell
Density: 8.994 Mg/m³



Model ii:
Density functional theory data (PBE-GGA) for a relaxed structure of SrMoRu2.

a = 6.5332 Å, b = 6.5332 Å, c = 6.5332 Å
α = 90.00°, β = 90.00°, γ = 90.00°
With the nearest neighbours (Å) after each atom.
Space group F-43m (No. 216)
Asymmetric unit:
Sr 0.0000 0.0000 0.0000 [4 per cell]  4 Mo 2.83, 4 Ru 2.83
Mo 0.2500 0.2500 0.2500 [4 per cell]  4 Ru 2.83, 4 Sr 2.83
Ru 0.0000 0.0000 0.5000 [4 per cell]  4 Ru 2.83, 4 Mo 2.83
Ru 0.2500 0.2500 0.7500 [4 per cell]  4 Ru 2.83, 4 Sr 2.83

Values from the calculation:
Spin magnetization: 3.114 μB/cell
Density: 9.187 Mg/m³



Model iii:
Density functional theory data (PBE-GGA) for a relaxed structure of SrMoRu2.

a = 4.7642 Å, b = 4.7642 Å, c = 3.1339 Å
α = 90.00°, β = 90.00°, γ = 90.00°
With the nearest neighbours (Å) after each atom.
Space group P4/mmm (No. 123)
Asymmetric unit:
Sr 0.0000 0.0000 0.0000 [1 per cell]  8 Ru 2.85, 2 Sr 3.13
Mo 0.5000 0.5000 0.0000 [1 per cell]  8 Ru 2.85, 2 Mo 3.13
Ru 0.0000 0.5000 0.5000 [2 per cell]  4 Mo 2.85, 4 Sr 2.85, 2 Ru 3.13

Values from the calculation:
Spin magnetization: 0.000 μB/cell
Density: 9.004 Mg/m³



The most stable of them is model iii.



Model i:
Density functional theory data (PBE-GGA) for a relaxed structure of SrMoRu2.

a = 3.1639 Å, b = 3.1756 Å, c = 7.5515 Å
α = 90.00°, β = 90.00°, γ = 90.00°
With the nearest neighbours (Å) after each atom.
Space group Pmmm (No. 47)
Asymmetric unit:
Sr 0.0000 0.0000 0.0000 [1 per cell]  4 Sr 3.16-3.18, 8 Ru 3.26
Mo 0.0000 0.0000 0.5000 [1 per cell]  8 Ru 2.65
Ru 0.5000 0.5000 0.3132 [2 per cell]  4 Mo 2.65, 1 Ru 2.82

Values from the calculation:
Spin magnetization: 0.000 μB/cell
Density: 8.442 Mg/m³



Model ii:
Density functional theory data (PBE-GGA) for a relaxed structure of SrMoRu2.

a = 6.5623 Å, b = 6.5623 Å, c = 6.5623 Å
α = 90.00°, β = 90.00°, γ = 90.00°
With the nearest neighbours (Å) after each atom.
Space group Fm-3m (No. 225)
Asymmetric unit:
Sr 0.0000 0.0000 0.0000 [4 per cell]  8 Ru 2.84
Mo 0.0000 0.0000 0.5000 [4 per cell]  8 Ru 2.84
Ru 0.2500 0.2500 0.2500 [8 per cell]  4 Mo 2.84, 4 Sr 2.84

Values from the calculation:
Spin magnetization: 0.000 μB/cell
Density: 9.066 Mg/m³



The most stable of them is model i.



Model i:
Density functional theory data (PBE-GGA) for a relaxed structure of SrMoRu2.

a = 6.1029 Å, b = 8.7623 Å, c = 2.8189 Å
α = 90.00°, β = 109.86°, γ = 90.00°
With the nearest neighbours (Å) after each atom.
Space group C2/m (No. 12)
Asymmetric unit:
Sr 0.0000 0.0000 0.0000 [2 per cell]  4 Ru 2.77, 2 Sr 2.82, 2 Mo 3.05
Mo 0.0000 0.5000 0.0000 [2 per cell]  4 Ru 2.77, 2 Mo 2.82, 2 Sr 3.05
Ru 0.2500 0.2500 0.5000 [4 per cell]  2 Mo 2.77, 2 Sr 2.77, 4 Ru 2.82-3.05

Values from the calculation:
Spin magnetization: 0.001 μB/cell
Density: 9.035 Mg/m³



Model ii:
Density functional theory data (PBE-GGA) for a relaxed structure of SrMoRu2.

a = 3.0110 Å, b = 4.9252 Å, c = 10.0517 Å
α = 90.00°, β = 90.00°, γ = 90.00°
With the nearest neighbours (Å) after each atom.
Space group Imm2 (No. 44)
Asymmetric unit:
Sr 0.0000 0.0000 0.0000 [2 per cell]  4 Ru 2.89, 2 Sr 3.01
Mo 0.0000 0.5000 0.7894 [2 per cell]  2 Ru 2.52
Ru 0.0000 0.0000 0.4906 [2 per cell]  2 Mo 2.52, 2 Ru 2.71
Ru 0.0000 0.5000 0.2142 [2 per cell]  4 Ru 2.71-3.01, 4 Mo 2.98

Values from the calculation:
Spin magnetization: 0.000 μB/cell
Density: 8.593 Mg/m³



The most stable of them is model ii.